No. 1
Density functional theory data (PBE-GGA) for a geometry-optimized LaDyInSn structure.

a = 4.4102 Å, b = 6.3317 Å, c = 6.3317 Å
α = 43.39°, β = 90.00°, γ = 90.00°
Fractional coordinates of all 4 atoms:
La 0.0000 0.0000 0.0000
Dy 0.5000 0.7262 0.7262
In 0.5000 0.4443 0.4443
Sn 0.0000 0.2754 0.2754

Calculated values
- Energy relative to the lowest polymorph listed for this composition: 0.00 eV/f.u.
- Volume: 121.5 Å³/cell
- ΔE_f: -2.46 eV/f.u.

***

No. 2
Density functional theory data (PBE-GGA) for a geometry-optimized Tl2CoCu structure.

a = 4.6598 Å, b = 4.6598 Å, c = 4.6598 Å
α = 60.00°, β = 60.00°, γ = 60.00°
Fractional coordinates of all 4 atoms:
Tl 0.2500 0.2500 0.2500
Tl 0.7500 0.7500 0.7500
Co 0.0000 0.0000 0.0000
Cu 0.5000 0.5000 0.5000

Calculated values
- Energy relative to the lowest polymorph listed for this composition: 0.53 eV/f.u.
- Volume: 71.5 Å³/cell
- ΔE_f: 2.16 eV/f.u.

***

No. 3
Density functional theory data (PBE-GGA) for a geometry-optimized CsNpRhS3 structure.

a = 9.2635 Å, b = 4.0149 Å, c = 9.6812 Å
α = 90.00°, β = 111.73°, γ = 90.00°
Fractional coordinates of all 12 atoms:
Cs 0.2108 0.2500 0.2501
Cs 0.7892 0.7500 0.7499
Np 0.3224 0.7500 0.8466
Np 0.6776 0.2500 0.1534
Rh 0.0829 0.2500 0.5938
Rh 0.9171 0.7500 0.4062
S 0.1384 0.2500 0.8585
S 0.1915 0.7500 0.5521
S 0.4732 0.7500 0.1478
S 0.5268 0.2500 0.8522
S 0.8085 0.2500 0.4479
S 0.8616 0.7500 0.1415

Calculated values
- Formation energy without anion corrections: -6.6 eV per formula unit
- Volume: 334.5 Å³/cell

***

Please write out number 3 again, unchanged.
Density functional theory data (PBE-GGA) for a geometry-optimized CsNpRhS3 structure.

a = 9.2635 Å, b = 4.0149 Å, c = 9.6812 Å
α = 90.00°, β = 111.73°, γ = 90.00°
Fractional coordinates of all 12 atoms:
Cs 0.2108 0.2500 0.2501
Cs 0.7892 0.7500 0.7499
Np 0.3224 0.7500 0.8466
Np 0.6776 0.2500 0.1534
Rh 0.0829 0.2500 0.5938
Rh 0.9171 0.7500 0.4062
S 0.1384 0.2500 0.8585
S 0.1915 0.7500 0.5521
S 0.4732 0.7500 0.1478
S 0.5268 0.2500 0.8522
S 0.8085 0.2500 0.4479
S 0.8616 0.7500 0.1415

Calculated values
- Formation energy without anion corrections: -6.6 eV per formula unit
- Volume: 334.5 Å³/cell

***

Which value of volume does entry 1 give? 121.5 Å³/cell